Computed, not measured: crystalline Ca4Hg15Pb at its relaxed geometry at the GGA-PBE level of DFT.

a b c (Å): 4.6865 4.6865 23.7268
angles (deg): 90.00 90.00 90.00
Positions (direct):
Ca (0.0000, 0.0000, 0.0994)
Ca (0.0000, 0.0000, 0.3018)
Ca (0.0000, 0.0000, 0.6982)
Ca (0.0000, 0.0000, 0.9006)
Hg (0.0000, 0.5000, 0.0000)
Hg (0.0000, 0.5000, 0.1997)
Hg (0.0000, 0.5000, 0.3976)
Hg (0.0000, 0.5000, 0.6024)
Hg (0.0000, 0.5000, 0.8003)
Hg (0.5000, 0.0000, 0.0000)
Hg (0.5000, 0.0000, 0.1997)
Hg (0.5000, 0.0000, 0.3976)
Hg (0.5000, 0.0000, 0.6024)
Hg (0.5000, 0.0000, 0.8003)
Hg (0.5000, 0.5000, 0.0958)
Hg (0.5000, 0.5000, 0.3003)
Hg (0.5000, 0.5000, 0.5000)
Hg (0.5000, 0.5000, 0.6997)
Hg (0.5000, 0.5000, 0.9042)
Pb (0.0000, 0.0000, 0.5000)

Results
Space-group type: P4/mmm
Density of states at the Fermi level in states/eV/cell: 7.83
DFT total energy in eV per formula unit: -22.27